This record from Alexandria via LeMat-Bulk describes a relaxed structure of Ac2CrGe3Pt12. The functional is PBE-GGA.

a = 7.975 Å, b = 7.975 Å, c = 7.975 Å
α = 62.99°, β = 62.99°, γ = 62.99°
Positions (direct):
Ac 0.118 0.118 0.118
Ac 0.882 0.882 0.882
Cr 0.500 0.500 0.500
Ge 0.000 0.500 0.500
Ge 0.500 0.000 0.500
Ge 0.500 0.500 0.000
Pt 0.132 0.624 0.624
Pt 0.140 0.140 0.605
Pt 0.140 0.605 0.140
Pt 0.376 0.376 0.868
Pt 0.376 0.868 0.376
Pt 0.395 0.860 0.860
Pt 0.605 0.140 0.140
Pt 0.624 0.132 0.624
Pt 0.624 0.624 0.132
Pt 0.860 0.395 0.860
Pt 0.860 0.860 0.395
Pt 0.868 0.376 0.376

Results
Density = 13.3 g cm⁻³
Magnetization = 0.199 μB per atom
Energy relative to the elements = -0.312 eV per atom



This record from Alexandria via LeMat-Bulk describes a relaxed structure of Ac2CrGe3Pt4. The functional is PBE-GGA.

a = 4.465 Å, b = 4.465 Å, c = 10.388 Å
α = 90.00°, β = 90.00°, γ = 90.00°
Positions (direct):
Ac 0.000 0.500 0.250
Ac 0.500 0.000 0.750
Cr 0.000 0.000 0.500
Ge 0.000 0.500 0.876
Ge 0.500 0.000 0.124
Ge 0.500 0.500 0.500
Pt 0.000 0.000 0.000
Pt 0.000 0.500 0.633
Pt 0.500 0.000 0.367
Pt 0.500 0.500 0.000

Results
Density = 12.1 g cm⁻³
Magnetization = 0.381 μB per atom
Energy relative to the elements = -0.795 eV per atom



This record from Alexandria via LeMat-Bulk describes a relaxed structure of Ac2CrGePt6. The functional is PBE-GGA.

a = 6.690 Å, b = 6.690 Å, c = 8.584 Å
α = 127.39°, β = 127.39°, γ = 49.26°
Positions (direct):
Ac 0.244 0.244 0.200
Ac 0.756 0.756 0.800
Cr 0.500 0.500 0.000
Ge 0.000 0.000 0.500
Pt 0.241 0.741 0.740
Pt 0.251 0.251 0.615
Pt 0.259 0.759 0.260
Pt 0.741 0.241 0.740
Pt 0.749 0.749 0.385
Pt 0.759 0.259 0.260

Results
Density = 13.4 g cm⁻³
Magnetization = 0.350 μB per atom
Energy relative to the elements = -0.749 eV per atom



This record from Alexandria via LeMat-Bulk describes a relaxed structure of AcCrGe2Pt5. The functional is PBE-GGA.

a = 4.201 Å, b = 4.201 Å, c = 10.572 Å
α = 90.00°, β = 90.00°, γ = 90.00°
Positions (direct):
Ac 0.000 0.000 0.000
Cr 0.000 0.000 0.500
Ge 0.500 0.500 0.231
Ge 0.500 0.500 0.769
Pt 0.000 0.500 0.354
Pt 0.000 0.500 0.646
Pt 0.500 0.000 0.354
Pt 0.500 0.000 0.646
Pt 0.500 0.500 0.000

Results
Density = 12.5 g cm⁻³
Magnetization = 0.374 μB per atom
Energy relative to the elements = -0.477 eV per atom



This record from Alexandria via LeMat-Bulk describes a relaxed structure of AcCrH. The functional is PBE-GGA.

a = 10.852 Å, b = 3.430 Å, c = 5.936 Å
α = 90.00°, β = 90.00°, γ = 90.00°
Positions (direct):
Ac 0.171 0.000 0.000
Ac 0.171 0.500 0.500
Ac 0.829 0.000 0.000
Ac 0.829 0.500 0.500
Cr 0.414 0.000 0.666
Cr 0.414 0.500 0.166
Cr 0.586 0.000 0.666
Cr 0.586 0.500 0.166
H 0.000 0.000 0.667
H 0.000 0.500 0.167
H 0.500 0.000 0.998
H 0.500 0.500 0.498

Results
Density = 8.4 g cm⁻³
Magnetization = 0.096 μB per atom
E = -5.044 eV per atom



This record from Alexandria via LeMat-Bulk describes a relaxed structure of Ac12Cr3H5. The functional is PBE-GGA.

a = 14.779 Å, b = 14.779 Å, c = 14.779 Å
α = 109.47°, β = 109.47°, γ = 109.47°
Positions (direct):
Ac 0.021 0.211 0.116
Ac 0.021 0.310 0.905
Ac 0.094 0.711 0.690
Ac 0.094 0.884 0.405
Ac 0.095 0.616 0.406
Ac 0.095 0.979 0.690
Ac 0.116 0.021 0.211
Ac 0.116 0.595 0.906
Ac 0.190 0.211 0.594
Ac 0.190 0.479 0.595
Ac 0.211 0.116 0.021
Ac 0.211 0.594 0.190
Ac 0.289 0.310 0.906
Ac 0.289 0.479 0.384
Ac 0.310 0.905 0.021
Ac 0.310 0.906 0.289
Ac 0.384 0.289 0.479
Ac 0.384 0.594 0.905
Ac 0.405 0.094 0.884
Ac 0.405 0.810 0.521
Ac 0.406 0.095 0.616
Ac 0.406 0.810 0.789
Ac 0.479 0.384 0.289
Ac 0.479 0.595 0.190
Ac 0.521 0.405 0.810
Ac 0.521 0.616 0.711
Ac 0.594 0.190 0.211
Ac 0.594 0.905 0.384
Ac 0.595 0.190 0.479
Ac 0.595 0.906 0.116
Ac 0.616 0.406 0.095
Ac 0.616 0.711 0.521
Ac 0.690 0.094 0.711
Ac 0.690 0.095 0.979
Ac 0.711 0.521 0.616
Ac 0.711 0.690 0.094
Ac 0.789 0.406 0.810
Ac 0.789 0.884 0.979
Ac 0.810 0.521 0.405
Ac 0.810 0.789 0.406
Ac 0.884 0.405 0.094
Ac 0.884 0.979 0.789
Ac 0.905 0.021 0.310
Ac 0.905 0.384 0.594
Ac 0.906 0.116 0.595
Ac 0.906 0.289 0.310
Ac 0.979 0.690 0.095
Ac 0.979 0.789 0.884
Cr 0.125 0.250 0.375
Cr 0.125 0.375 0.750
Cr 0.250 0.375 0.125
Cr 0.250 0.875 0.625
Cr 0.375 0.125 0.250
Cr 0.375 0.750 0.125
Cr 0.625 0.250 0.875
Cr 0.625 0.875 0.750
Cr 0.750 0.125 0.375
Cr 0.750 0.625 0.875
Cr 0.875 0.625 0.250
Cr 0.875 0.750 0.625
H 0.000 0.000 0.000
H 0.000 0.000 0.500
H 0.000 0.500 0.000
H 0.000 0.500 0.500
H 0.125 0.750 0.875
H 0.125 0.875 0.250
H 0.250 0.125 0.875
H 0.250 0.625 0.375
H 0.375 0.250 0.625
H 0.375 0.625 0.750
H 0.500 0.000 0.000
H 0.500 0.000 0.500
H 0.500 0.500 0.000
H 0.500 0.500 0.500
H 0.625 0.375 0.250
H 0.625 0.750 0.375
H 0.750 0.375 0.625
H 0.750 0.875 0.125
H 0.875 0.125 0.750
H 0.875 0.250 0.125

Results
Density = 7.7 g cm⁻³
Magnetization = 0.530 μB per atom
E = -4.653 eV per atom



This record from Alexandria via LeMat-Bulk describes a relaxed structure of AcMgCrH6. The functional is PBE-GGA.

a = 4.752 Å, b = 4.752 Å, c = 4.790 Å
α = 90.00°, β = 90.00°, γ = 120.00°
Positions (direct):
Ac 0.000 0.000 0.000
Mg 0.333 0.667 0.500
Cr 0.667 0.333 0.500
H 0.517 0.034 0.245
H 0.517 0.034 0.755
H 0.517 0.483 0.245
H 0.517 0.483 0.755
H 0.966 0.483 0.245
H 0.966 0.483 0.755

Results
Density = 5.5 g cm⁻³
Magnetization = 0.246 μB per atom
E = -4.229 eV per atom



This record from Alexandria via LeMat-Bulk describes a relaxed structure of Ac2CrHN3. The functional is PBE-GGA.

a = 3.831 Å, b = 3.889 Å, c = 13.417 Å
α = 90.00°, β = 90.00°, γ = 90.00°
Positions (direct):
Ac 0.000 0.000 0.146
Ac 0.000 0.000 0.854
Ac 0.500 0.500 0.354
Ac 0.500 0.500 0.646
Cr 0.000 0.000 0.500
Cr 0.500 0.500 0.000
H 0.000 0.500 0.000
H 0.500 0.000 0.500
N 0.000 0.000 0.344
N 0.000 0.000 0.656
N 0.000 0.500 0.500
N 0.500 0.000 0.000
N 0.500 0.500 0.156
N 0.500 0.500 0.844

Results
Density = 9.1 g cm⁻³
Magnetization = 0.265 μB per atom
E = -7.450 eV per atom